# ZnCu2BiPt meta-GGA SCAN PBEsol geometry
data_ZnCu2BiPt
_chemical_formula_sum 'Zn1 Cu2 Bi1 Pt1'
_cell_length_a 4.816
_cell_length_b 4.816
_cell_length_c 5.139
_cell_angle_alpha 90.00
_cell_angle_beta 90.00
_cell_angle_gamma 90.00
_space_group_name_H-M_alt 'P 4/m m m'
_space_group_IT_number 123
_space_group_name_Hall '-P 4 2'
loop_
_atom_site_label
_atom_site_type_symbol
_atom_site_fract_x
_atom_site_fract_y
_atom_site_fract_z
Zn1 Zn 0.000 0.000 0.000
Cu1 Cu 0.000 0.500 0.500
Bi1 Bi 0.500 0.500 0.500
Pt1 Pt 0.500 0.500 0.000
# - calculated volume (Å³/cell) = 119
# - E (eV/f.u.) = -187.484
# - M_tot (μB per formula unit) = 0.000

---

# RbCu2Bi2 meta-GGA SCAN PBEsol geometry
data_RbCu2Bi2
_chemical_formula_sum 'Rb2 Cu4 Bi4'
_cell_length_a 4.677
_cell_length_b 4.677
_cell_length_c 11.744
_cell_angle_alpha 90.00
_cell_angle_beta 90.00
_cell_angle_gamma 90.00
_space_group_name_H-M_alt 'I 4/m m m'
_space_group_IT_number 139
_space_group_name_Hall '-I 4 2'
loop_
_atom_site_label
_atom_site_type_symbol
_atom_site_fract_x
_atom_site_fract_y
_atom_site_fract_z
Rb1 Rb 0.000 0.000 0.000
Cu1 Cu 0.000 0.500 0.250
Bi1 Bi 0.000 0.000 0.364
# - calculated volume (Å³/cell) = 257
# - E (eV/f.u.) = -208.474
# - M_tot (μB per formula unit) = 0.000

---

# RbYCu2Bi meta-GGA SCAN PBEsol geometry
data_RbYCu2Bi
_chemical_formula_sum 'Rb1 Y1 Cu2 Bi1'
_cell_length_a 5.407
_cell_length_b 5.407
_cell_length_c 5.822
_cell_angle_alpha 90.00
_cell_angle_beta 90.00
_cell_angle_gamma 90.00
_space_group_name_H-M_alt 'P 4/m m m'
_space_group_IT_number 123
_space_group_name_Hall '-P 4 2'
loop_
_atom_site_label
_atom_site_type_symbol
_atom_site_fract_x
_atom_site_fract_y
_atom_site_fract_z
Rb1 Rb 0.000 0.000 0.000
Y1 Y 0.500 0.500 0.500
Cu1 Cu 0.000 0.500 0.500
Bi1 Bi 0.500 0.500 0.000
# - calculated volume (Å³/cell) = 170
# - E (eV/f.u.) = -155.108
# - M_tot (μB per formula unit) = 0.000

---

# Cu2TcBiRh meta-GGA SCAN PBEsol geometry
data_Cu2TcBiRh
_chemical_formula_sum 'Cu2 Tc1 Bi1 Rh1'
_cell_length_a 4.504
_cell_length_b 4.504
_cell_length_c 5.033
_cell_angle_alpha 90.00
_cell_angle_beta 90.00
_cell_angle_gamma 90.00
_space_group_name_H-M_alt 'P 4/m m m'
_space_group_IT_number 123
_space_group_name_Hall '-P 4 2'
loop_
_atom_site_label
_atom_site_type_symbol
_atom_site_fract_x
_atom_site_fract_y
_atom_site_fract_z
Cu1 Cu 0.000 0.500 0.000
Tc1 Tc 0.000 0.000 0.000
Bi1 Bi 0.000 0.000 0.500
Rh1 Rh 0.500 0.500 0.500
# - calculated volume (Å³/cell) = 102
# - E (eV/f.u.) = -170.554
# - M_tot (μB per formula unit) = 2.065

---

Please write out number 2 again, unchanged.
# RbCu2Bi2 meta-GGA SCAN PBEsol geometry
data_RbCu2Bi2
_chemical_formula_sum 'Rb2 Cu4 Bi4'
_cell_length_a 4.677
_cell_length_b 4.677
_cell_length_c 11.744
_cell_angle_alpha 90.00
_cell_angle_beta 90.00
_cell_angle_gamma 90.00
_space_group_name_H-M_alt 'I 4/m m m'
_space_group_IT_number 139
_space_group_name_Hall '-I 4 2'
loop_
_atom_site_label
_atom_site_type_symbol
_atom_site_fract_x
_atom_site_fract_y
_atom_site_fract_z
Rb1 Rb 0.000 0.000 0.000
Cu1 Cu 0.000 0.500 0.250
Bi1 Bi 0.000 0.000 0.364
# - calculated volume (Å³/cell) = 257
# - E (eV/f.u.) = -208.474
# - M_tot (μB per formula unit) = 0.000